# 1
Compound: CaTa2Rh
Source: Alexandria
Functional: PBE
Structure: optimized geometry

Results
Size of the total moment (μB per formula unit): 0.00
Formation energy from the elements (eV per atom): 0.39
D(E_F) (states/eV/atom): 1.454
Space group: F222

The structure in POSCAR format:
```
CaTa2Rh
1.0
0.000 3.345 3.351
3.342 0.000 3.351
3.342 3.345 0.000
Ca Ta Rh
1 2 1
Cartesian
0.000 0.000 0.000 Ca
1.671 1.673 1.676 Ta
3.342 3.345 3.351 Ta
5.014 5.018 5.027 Rh
```

# 2
Compound: CaTa2Rh
Source: Alexandria
Functional: PBE
Structure: optimized geometry

Results
Size of the total moment (μB per formula unit): 0.00
Formation energy from the elements (eV per atom): 0.42
D(E_F) (states/eV/atom): 1.076
Space group: Cmmm

The structure in POSCAR format:
```
CaTa2Rh
1.0
2.706 -4.861 0.000
2.706 4.861 0.000
0.000 0.000 2.869
Ca Ta Rh
1 2 1
Cartesian
0.000 0.000 0.000 Ca
1.353 2.431 1.435 Ta
1.353 -2.431 1.435 Ta
2.706 0.000 0.000 Rh
```

# 3
Compound: CaTa2Rh
Source: Alexandria
Functional: PBE
Structure: optimized geometry

Results
Size of the total moment (μB per formula unit): 0.00
Formation energy from the elements (eV per atom): 0.32
D(E_F) (states/eV/atom): 0.945
Space group: I4/mmm

The structure in POSCAR format:
```
CaTa2Rh
1.0
-1.956 1.956 5.001
1.956 -1.956 5.001
1.956 1.956 -5.001
Ca Ta Rh
1 2 1
Cartesian
0.000 0.000 0.000 Ca
1.956 0.000 2.501 Ta
0.000 1.956 2.501 Ta
0.000 0.000 5.001 Rh
```